SnB3Pd | PBE-GGA | relaxed

Lattice parameters (Å, degrees): 4.1893 4.1893 4.1893 90.00 90.00 90.00
Positions (direct):
Sn: 0.0000 0.0000 0.0000
B: 0.0000 0.5000 0.5000
B: 0.5000 0.0000 0.5000
B: 0.5000 0.5000 0.0000
Pd: 0.5000 0.5000 0.5000

Summary:
E_form ... 1333 meV per atom
Density of states at the Fermi level ... 1.909 states/eV/cell
Symmetry ... Pm-3m
Total magnetization ... 0.000 Bohr magnetons per cell